P) Density functional theory data (PBE-GGA) for a geometry-optimized LiTc2O8 structure.

The structure in CIF format:
```
data_LiTc2O8
_symmetry_space_group_name_H-M 'P 1'
_symmetry_Int_Tables_number 1
_symmetry_space_group_name_Hall 'P 1'
_cell_length_a 6.373
_cell_length_b 5.420
_cell_length_c 6.373
_cell_angle_alpha 78.12
_cell_angle_beta 103.66
_cell_angle_gamma 101.88
loop_
_atom_site_label
_atom_site_type_symbol
_atom_site_fract_x
_atom_site_fract_y
_atom_site_fract_z
Li1 Li 0.000 0.000 0.000
Tc1 Tc 0.201 0.682 0.799
Tc2 Tc 0.799 0.318 0.201
O1 O 0.675 0.176 0.969
O2 O 0.969 0.824 0.675
O3 O 0.122 0.352 0.878
O4 O 0.878 0.648 0.122
O5 O 0.031 0.176 0.325
O6 O 0.325 0.824 0.031
O7 O 0.378 0.735 0.622
O8 O 0.622 0.265 0.378
```

Computed properties:
Total moment = 1.07 μB/f.u.

Q) Density functional theory data (PBE-GGA) for a geometry-optimized LiTc2O8 structure.

The structure in CIF format:
```
data_LiTc2O8
_symmetry_space_group_name_H-M 'P 1'
_symmetry_Int_Tables_number 1
_symmetry_space_group_name_Hall 'P 1'
_cell_length_a 6.330
_cell_length_b 5.904
_cell_length_c 5.904
_cell_angle_alpha 120.00
_cell_angle_beta 90.00
_cell_angle_gamma 90.00
loop_
_atom_site_label
_atom_site_type_symbol
_atom_site_fract_x
_atom_site_fract_y
_atom_site_fract_z
Li1 Li 0.500 0.000 0.000
Tc1 Tc 0.773 0.667 0.333
Tc2 Tc 0.227 0.333 0.667
O1 O 0.954 0.333 0.667
O2 O 0.046 0.667 0.333
O3 O 0.319 0.172 0.345
O4 O 0.681 0.828 0.655
O5 O 0.681 0.345 0.172
O6 O 0.319 0.655 0.828
O7 O 0.319 0.172 0.828
O8 O 0.681 0.828 0.172
```

Computed properties:
Total moment = 1.11 μB/f.u.

Verdict on stability: Q) comes out on top.

P) Density functional theory data (PBE-GGA) for a geometry-optimized LiTc2O4 structure.

The structure in CIF format:
```
data_LiTc2O4
_symmetry_space_group_name_H-M 'P 1'
_symmetry_Int_Tables_number 1
_symmetry_space_group_name_Hall 'P 1'
_cell_length_a 6.107
_cell_length_b 6.316
_cell_length_c 5.823
_cell_angle_alpha 122.84
_cell_angle_beta 121.63
_cell_angle_gamma 90.00
loop_
_atom_site_label
_atom_site_type_symbol
_atom_site_fract_x
_atom_site_fract_y
_atom_site_fract_z
Li1 Li 0.251 0.781 0.503
Li2 Li 0.999 0.029 0.998
Tc1 Tc 0.591 0.808 0.181
Tc2 Tc 0.625 0.393 0.750
Tc3 Tc 0.125 0.393 0.750
Tc4 Tc 0.659 0.377 0.319
O1 O 0.920 0.654 0.839
O2 O 0.387 0.178 0.774
O3 O 0.826 0.089 0.219
O4 O 0.393 0.089 0.219
O5 O 0.863 0.154 0.726
O6 O 0.424 0.620 0.281
O7 O 0.857 0.620 0.281
O8 O 0.330 0.564 0.661
```

Computed properties:
Total moment = 1.00 μB/f.u.

Q) Density functional theory data (PBE-GGA) for a geometry-optimized LiTc2O4 structure.

The structure in CIF format:
```
data_LiTc2O4
_symmetry_space_group_name_H-M 'P 1'
_symmetry_Int_Tables_number 1
_symmetry_space_group_name_Hall 'P 1'
_cell_length_a 3.632
_cell_length_b 3.632
_cell_length_c 6.046
_cell_angle_alpha 72.52
_cell_angle_beta 72.52
_cell_angle_gamma 90.00
loop_
_atom_site_label
_atom_site_type_symbol
_atom_site_fract_x
_atom_site_fract_y
_atom_site_fract_z
Tc1 Tc 0.374 0.374 0.251
Tc2 Tc 0.626 0.626 0.749
O1 O 0.207 0.207 0.586
O2 O 0.793 0.793 0.414
O3 O 0.000 0.500 0.000
O4 O 0.500 0.000 0.000
Li1 Li 0.000 0.000 0.000
```

Computed properties:
Total moment = 3.73 μB/f.u.

Verdict on stability: P) comes out on top.

P) Density functional theory data (PBE-GGA) for a geometry-optimized Li2Te2O5 structure.

The structure in CIF format:
```
data_Li2Te2O5
_symmetry_space_group_name_H-M 'P 1'
_symmetry_Int_Tables_number 1
_symmetry_space_group_name_Hall 'P 1'
_cell_length_a 5.889
_cell_length_b 8.087
_cell_length_c 8.302
_cell_angle_alpha 119.15
_cell_angle_beta 110.78
_cell_angle_gamma 90.00
loop_
_atom_site_label
_atom_site_type_symbol
_atom_site_fract_x
_atom_site_fract_y
_atom_site_fract_z
Li1 Li 0.000 0.046 0.000
Li2 Li 0.500 0.546 0.000
Li3 Li 0.833 0.761 0.500
Li4 Li 0.167 0.261 0.500
Te1 Te 0.852 0.571 0.756
Te2 Te 0.148 0.815 0.244
Te3 Te 0.404 0.071 0.756
Te4 Te 0.596 0.315 0.244
O1 O 0.809 0.709 0.058
O2 O 0.191 0.651 0.942
O3 O 0.748 0.209 0.058
O4 O 0.252 0.151 0.942
O5 O 0.821 0.795 0.744
O6 O 0.179 0.051 0.256
O7 O 0.423 0.295 0.744
O8 O 0.577 0.551 0.256
O9 O 0.064 0.936 0.500
O10 O 0.936 0.436 0.500
```

Computed properties:
Total moment = 0.00 μB/f.u.

Q) Density functional theory data (PBE-GGA) for a geometry-optimized Li2Te2O5 structure.

The structure in CIF format:
```
data_Li2Te2O5
_symmetry_space_group_name_H-M 'P 1'
_symmetry_Int_Tables_number 1
_symmetry_space_group_name_Hall 'P 1'
_cell_length_a 4.920
_cell_length_b 10.642
_cell_length_c 12.271
_cell_angle_alpha 57.44
_cell_angle_beta 90.00
_cell_angle_gamma 90.00
loop_
_atom_site_label
_atom_site_type_symbol
_atom_site_fract_x
_atom_site_fract_y
_atom_site_fract_z
Li1 Li 0.176 0.924 0.823
Li2 Li 0.676 0.076 0.677
Li3 Li 0.824 0.076 0.177
Li4 Li 0.324 0.924 0.323
Li5 Li 0.297 0.076 0.509
Li6 Li 0.797 0.924 0.991
Li7 Li 0.703 0.924 0.491
Li8 Li 0.203 0.076 0.009
Te1 Te 0.166 0.297 0.626
Te2 Te 0.666 0.703 0.874
Te3 Te 0.834 0.703 0.374
Te4 Te 0.334 0.297 0.126
Te5 Te 0.179 0.704 0.648
Te6 Te 0.679 0.296 0.852
Te7 Te 0.821 0.296 0.352
Te8 Te 0.321 0.704 0.148
O1 O 0.016 0.624 0.544
O2 O 0.516 0.376 0.956
O3 O 0.984 0.376 0.456
O4 O 0.484 0.624 0.044
O5 O 0.175 0.772 0.286
O6 O 0.675 0.228 0.214
O7 O 0.825 0.228 0.714
O8 O 0.325 0.772 0.786
O9 O 0.230 0.111 0.156
O10 O 0.730 0.889 0.344
O11 O 0.770 0.889 0.844
O12 O 0.270 0.111 0.656
O13 O 0.329 0.235 0.832
O14 O 0.829 0.765 0.668
O15 O 0.671 0.765 0.168
O16 O 0.171 0.235 0.332
O17 O 0.289 0.889 0.505
O18 O 0.789 0.111 0.995
O19 O 0.711 0.111 0.495
O20 O 0.211 0.889 0.005
```

Computed properties:
Total moment = 0.00 μB/f.u.

Verdict on stability: Q) comes out on top.

P) Density functional theory data (PBE-GGA) for a geometry-optimized LiTe2O6 structure.

The structure in CIF format:
```
data_LiTe2O6
_symmetry_space_group_name_H-M 'P 1'
_symmetry_Int_Tables_number 1
_symmetry_space_group_name_Hall 'P 1'
_cell_length_a 3.984
_cell_length_b 5.471
_cell_length_c 6.616
_cell_angle_alpha 68.12
_cell_angle_beta 72.48
_cell_angle_gamma 68.65
loop_
_atom_site_label
_atom_site_type_symbol
_atom_site_fract_x
_atom_site_fract_y
_atom_site_fract_z
Li1 Li 0.000 0.500 0.500
Te1 Te 0.179 0.780 0.863
Te2 Te 0.821 0.220 0.137
O1 O 0.699 0.666 0.936
O2 O 0.301 0.334 0.064
O3 O 0.991 0.823 0.194
O4 O 0.342 0.728 0.588
O5 O 0.009 0.177 0.806
O6 O 0.658 0.272 0.412
```

Computed properties:
Total moment = 0.00 μB/f.u.

Q) Density functional theory data (PBE-GGA) for a geometry-optimized LiTe2O6 structure.

The structure in CIF format:
```
data_LiTe2O6
_symmetry_space_group_name_H-M 'P 1'
_symmetry_Int_Tables_number 1
_symmetry_space_group_name_Hall 'P 1'
_cell_length_a 4.876
_cell_length_b 5.385
_cell_length_c 5.385
_cell_angle_alpha 120.00
_cell_angle_beta 90.00
_cell_angle_gamma 90.00
loop_
_atom_site_label
_atom_site_type_symbol
_atom_site_fract_x
_atom_site_fract_y
_atom_site_fract_z
Li1 Li 0.000 0.000 0.000
Te1 Te 0.500 0.667 0.333
Te2 Te 0.500 0.333 0.667
O1 O 0.722 0.631 0.631
O2 O 0.278 0.631 0.000
O3 O 0.278 0.000 0.631
O4 O 0.722 0.369 0.000
O5 O 0.278 0.369 0.369
O6 O 0.722 0.000 0.369
```

Computed properties:
Total moment = 0.00 μB/f.u.

Verdict on stability: Q) comes out on top.